1.
The following is a PBE calculation of LaTmAg2 after structural relaxation, from Alexandria.

It has space group P4/mmm (No. 123), with a = 3.636 Å, b = 3.636 Å, c = 7.660 Å, α = 90.00°, β = 90.00° and γ = 90.00°. The asymmetric unit holds La at (0.000, 0.000, 0.000), Tm at (0.000, 0.000, 0.500) and Ag at (0.500, 0.500, 0.281).

For the total energy, the calculation gives -16.316 eV/cell. The total magnetization is 0.00 μB/f.u. The value obtained for the formation energy is -0.30 eV per atom. The volume is 101.30 Å³ per cell.


2.
The following is a PBE calculation of Y6Er3Tm2Th after structural relaxation, from Alexandria.

It has space group C2/m (No. 12), with a = 6.142 Å, b = 10.632 Å, c = 11.762 Å, α = 90.00°, β = 100.02° and γ = 90.00°. The asymmetric unit holds Y at (0.247, 0.000, 0.250), Y at (0.249, 0.165, 0.750), Er at (0.000, 0.167, 0.000), Er at (0.000, 0.500, 0.000), Tm at (0.000, 0.333, 0.500) and Th at (0.000, 0.000, 0.500).

For the total energy, the calculation gives -136.977 eV/cell. The total magnetization is 0.00 μB/f.u. The value obtained for the formation energy is 0.03 eV per atom. The volume is 756.31 Å³ per cell.


3.
The following is a PBE calculation of PdO3F6 after structural relaxation, from Alexandria.

It has space group P1 (No. 1), with a = 5.197 Å, b = 5.567 Å, c = 5.574 Å, α = 66.61°, β = 82.17° and γ = 82.21°. The asymmetric unit holds Pd at (0.000, 0.000, 0.000), O at (0.442, 0.612, 0.612), O at (0.510, 0.476, 0.476), O at (0.746, 0.412, 0.414), F at (0.170, 0.098, 0.653), F at (0.171, 0.654, 0.098), F at (0.281, 0.109, 0.107), F at (0.718, 0.892, 0.894), F at (0.827, 0.347, 0.904) and F at (0.828, 0.904, 0.347).

Its energy relative to the elements, uncorrected is -0.499 eV per atom. For the total energy, the calculation gives -36.284 eV/cell. The total magnetization is 2.09 μB/f.u. The volume is 146.05 Å³ per cell.